Entry from the Alexandria database: Th2ZnHg3 after structural relaxation (PBE).

a = 3.4864 Å, b = 4.9413 Å, c = 8.5878 Å
α = 90.00°, β = 90.00°, γ = 90.00°
Sites, in units of the cell vectors:
Th 0.0000 0.0000 0.0000
Th 0.0000 0.5000 0.4857
Zn 0.5000 0.0000 0.3241
Hg 0.5000 0.0000 0.6471
Hg 0.5000 0.5000 0.1678
Hg 0.5000 0.5000 0.8263

Calculated values
M_tot	0.00	μB per atom
space-group type	Pmm2
energy	-3.09	eV per atom
ΔE_f	-254	meV/atom

Entry from the Alexandria database: ThZn3Hg3 after structural relaxation (PBE).

a = 7.1508 Å, b = 7.1508 Å, c = 7.1508 Å
α = 90.00°, β = 90.00°, γ = 90.00°
Sites, in units of the cell vectors:
Th 0.0000 0.0000 0.0000
Th 0.5000 0.5000 0.5000
Zn 0.0000 0.2500 0.5000
Zn 0.0000 0.7500 0.5000
Zn 0.2500 0.5000 0.0000
Zn 0.5000 0.0000 0.2500
Zn 0.5000 0.0000 0.7500
Zn 0.7500 0.5000 0.0000
Hg 0.0000 0.5000 0.2500
Hg 0.0000 0.5000 0.7500
Hg 0.2500 0.0000 0.5000
Hg 0.5000 0.2500 0.0000
Hg 0.5000 0.7500 0.0000
Hg 0.7500 0.0000 0.5000

Calculated values
M_tot	0.00	μB per atom
space-group type	Pm-3n
energy	-1.33	eV per atom
ΔE_f	410	meV/atom

Entry from the Alexandria database: Th5ZnHg4 after structural relaxation (PBE).

a = 3.4414 Å, b = 3.4414 Å, c = 22.6028 Å
α = 90.00°, β = 90.00°, γ = 90.00°
Sites, in units of the cell vectors:
Th 0.0000 0.0000 0.0000
Th 0.0000 0.0000 0.2044
Th 0.0000 0.0000 0.4091
Th 0.0000 0.0000 0.5909
Th 0.0000 0.0000 0.7956
Zn 0.5000 0.5000 0.5000
Hg 0.5000 0.5000 0.1020
Hg 0.5000 0.5000 0.3054
Hg 0.5000 0.5000 0.6946
Hg 0.5000 0.5000 0.8980

Calculated values
M_tot	0.00	μB per atom
space-group type	P4/mmm
energy	-4.16	eV per atom
ΔE_f	-207	meV/atom

Entry from the Alexandria database: Th3Zn3Hg after structural relaxation (PBE).

a = 5.9545 Å, b = 5.9545 Å, c = 13.7050 Å
α = 103.04°, β = 103.04°, γ = 46.38°
Sites, in units of the cell vectors:
Th 0.0539 0.0539 0.3804
Th 0.0923 0.0923 0.9130
Th 0.2504 0.2504 0.2057
Th 0.7496 0.7496 0.7943
Th 0.9077 0.9077 0.0870
Th 0.9461 0.9461 0.6196
Zn 0.3816 0.3816 0.4519
Zn 0.3890 0.3890 0.9372
Zn 0.4558 0.4558 0.7696
Zn 0.5442 0.5442 0.2304
Zn 0.6110 0.6110 0.0628
Zn 0.6184 0.6184 0.5481
Hg 0.2399 0.2399 0.6149
Hg 0.7601 0.7601 0.3851

Calculated values
M_tot	0.00	μB per atom
space-group type	C2/m
energy	-3.97	eV per atom
ΔE_f	-199	meV/atom

Entry from the Alexandria database: ThZn2Hg after structural relaxation (PBE).

a = 4.7050 Å, b = 4.7050 Å, c = 4.1295 Å
α = 90.00°, β = 90.00°, γ = 90.00°
Sites, in units of the cell vectors:
Th 0.0000 0.0000 0.0000
Zn 0.0000 0.5000 0.5000
Zn 0.5000 0.0000 0.5000
Hg 0.5000 0.5000 0.0000

Calculated values
distance to the lowest polymorph of the same formula	0.38	eV per formula unit
M_tot	0.00	μB per atom
space-group type	P4/mmm
energy	-2.67	eV per atom
ΔE_f	-103	meV/atom

Entry from the Alexandria database: ThZn4Hg after structural relaxation (PBE).

a = 5.5185 Å, b = 5.5185 Å, c = 5.5185 Å
α = 60.00°, β = 60.00°, γ = 60.00°
Sites, in units of the cell vectors:
Th 0.0000 0.0000 0.0000
Zn 0.3746 0.3746 0.3746
Zn 0.3746 0.3746 0.8763
Zn 0.3746 0.8763 0.3746
Zn 0.8763 0.3746 0.3746
Hg 0.7500 0.7500 0.7500

Calculated values
M_tot	0.00	μB per atom
space-group type	F-43m
energy	-2.20	eV per atom
ΔE_f	-63	meV/atom